1.
Crystalline SrInGe2Pd5 at its relaxed geometry. Source: Alexandria, functional PBE.

CIF file:
```
data_SrInGe2Pd5
_symmetry_space_group_name_H-M 'P 1'
_symmetry_Int_Tables_number 1
_cell_length_a 4.838
_cell_length_b 4.838
_cell_length_c 7.413
_cell_angle_alpha 90.00
_cell_angle_beta 90.00
_cell_angle_gamma 90.00
loop_
_symmetry_equiv_pos_as_xyz
'x,y,z'
loop_
_atom_site_label
_atom_site_type_symbol
_atom_site_fract_x
_atom_site_fract_y
_atom_site_fract_z
_atom_site_occupancy
Sr1 Sr 0.000 0.000 0.000 1
In1 In 0.000 0.000 0.500 1
Ge1 Ge 0.500 0.500 0.337 1
Ge2 Ge 0.500 0.500 0.663 1
Pd1 Pd 0.000 0.500 0.276 1
Pd2 Pd 0.000 0.500 0.724 1
Pd3 Pd 0.500 0.000 0.276 1
Pd4 Pd 0.500 0.000 0.724 1
Pd5 Pd 0.500 0.500 0.000 1
```

Space-group type   P4/mmm, No. 123
V   19.27 A^3/atom
Formation enthalpy at 0 K   -436 meV/atom
Calculated total energy   -43.541 eV per formula unit

---

2.
Crystalline SrIn2GePd4 at its relaxed geometry. Source: Alexandria, functional PBE.

CIF file:
```
data_SrIn2GePd4
_symmetry_space_group_name_H-M 'P 1'
_symmetry_Int_Tables_number 1
_cell_length_a 9.445
_cell_length_b 9.445
_cell_length_c 9.445
_cell_angle_alpha 28.03
_cell_angle_beta 28.03
_cell_angle_gamma 28.03
loop_
_symmetry_equiv_pos_as_xyz
'x,y,z'
loop_
_atom_site_label
_atom_site_type_symbol
_atom_site_fract_x
_atom_site_fract_y
_atom_site_fract_z
_atom_site_occupancy
Sr1 Sr 0.000 0.000 0.000 1
In1 In 0.244 0.244 0.244 1
In2 In 0.756 0.756 0.756 1
Ge1 Ge 0.500 0.500 0.500 1
Pd1 Pd 0.138 0.138 0.138 1
Pd2 Pd 0.409 0.409 0.409 1
Pd3 Pd 0.591 0.591 0.591 1
Pd4 Pd 0.862 0.862 0.862 1
```

Space-group type   R-3m, No. 166
V   20.55 A^3/atom
Formation enthalpy at 0 K   -516 meV/atom
Calculated total energy   -36.672 eV per formula unit

---

3.
Crystalline Sr2In6GePd at its relaxed geometry. Source: Alexandria, functional PBE.

CIF file:
```
data_Sr2In6GePd
_symmetry_space_group_name_H-M 'P 1'
_symmetry_Int_Tables_number 1
_cell_length_a 13.041
_cell_length_b 13.041
_cell_length_c 13.041
_cell_angle_alpha 32.61
_cell_angle_beta 32.61
_cell_angle_gamma 32.61
loop_
_symmetry_equiv_pos_as_xyz
'x,y,z'
loop_
_atom_site_label
_atom_site_type_symbol
_atom_site_fract_x
_atom_site_fract_y
_atom_site_fract_z
_atom_site_occupancy
Sr1 Sr 0.105 0.105 0.105 1
Sr2 Sr 0.281 0.281 0.281 1
Sr3 Sr 0.719 0.719 0.719 1
Sr4 Sr 0.895 0.895 0.895 1
In1 In 0.074 0.666 0.666 1
In2 In 0.223 0.223 0.650 1
In3 In 0.223 0.650 0.223 1
In4 In 0.334 0.334 0.926 1
In5 In 0.334 0.926 0.334 1
In6 In 0.350 0.777 0.777 1
In7 In 0.650 0.223 0.223 1
In8 In 0.666 0.074 0.666 1
In9 In 0.666 0.666 0.074 1
In10 In 0.777 0.350 0.777 1
In11 In 0.777 0.777 0.350 1
In12 In 0.926 0.334 0.334 1
Ge1 Ge 0.427 0.427 0.427 1
Ge2 Ge 0.573 0.573 0.573 1
Pd1 Pd 0.000 0.000 0.000 1
Pd2 Pd 0.500 0.500 0.500 1
```

Space-group type   R-3m, No. 166
V   28.64 A^3/atom
Formation enthalpy at 0 K   -250 meV/atom
Calculated total energy   -32.103 eV per formula unit

---

4.
Crystalline InTc2GePd at its relaxed geometry. Source: Alexandria, functional PBE.

CIF file:
```
data_InTc2GePd
_symmetry_space_group_name_H-M 'P 1'
_symmetry_Int_Tables_number 1
_cell_length_a 4.997
_cell_length_b 4.997
_cell_length_c 4.559
_cell_angle_alpha 90.00
_cell_angle_beta 90.00
_cell_angle_gamma 90.00
loop_
_symmetry_equiv_pos_as_xyz
'x,y,z'
loop_
_atom_site_label
_atom_site_type_symbol
_atom_site_fract_x
_atom_site_fract_y
_atom_site_fract_z
_atom_site_occupancy
In1 In 0.000 0.000 0.000 1
Tc1 Tc 0.000 0.500 0.500 1
Tc2 Tc 0.500 0.000 0.500 1
Ge1 Ge 0.500 0.500 0.000 1
Pd1 Pd 0.500 0.500 0.500 1
```

Space-group type   P4/mmm, No. 123
V   22.77 A^3/atom
Formation enthalpy at 0 K   1311 meV/atom
Calculated total energy   -26.727 eV per formula unit

---

5.
Crystalline InGe2Te2Pd7 at its relaxed geometry. Source: Alexandria, functional PBE.

CIF file:
```
data_InGe2Te2Pd7
_symmetry_space_group_name_H-M 'P 1'
_symmetry_Int_Tables_number 1
_cell_length_a 3.974
_cell_length_b 3.974
_cell_length_c 15.257
_cell_angle_alpha 97.42
_cell_angle_beta 97.42
_cell_angle_gamma 90.01
loop_
_symmetry_equiv_pos_as_xyz
'x,y,z'
loop_
_atom_site_label
_atom_site_type_symbol
_atom_site_fract_x
_atom_site_fract_y
_atom_site_fract_z
_atom_site_occupancy
In1 In 0.000 0.000 0.000 1
Ge1 Ge 0.381 0.381 0.760 1
Ge2 Ge 0.619 0.619 0.240 1
Te1 Te 0.206 0.206 0.413 1
Te2 Te 0.794 0.794 0.587 1
Pd1 Pd 0.069 0.569 0.140 1
Pd2 Pd 0.299 0.299 0.596 1
Pd3 Pd 0.431 0.931 0.860 1
Pd4 Pd 0.500 0.500 0.000 1
Pd5 Pd 0.569 0.069 0.140 1
Pd6 Pd 0.701 0.701 0.404 1
Pd7 Pd 0.931 0.431 0.860 1
```

Space-group type   C2/m, No. 12
V   19.74 A^3/atom
Calculated total energy   -58.821 eV per formula unit
ΔE_f (raw)   -0.3512 eV per atom

---

6.
Crystalline VInGe2Pd at its relaxed geometry. Source: Alexandria, functional PBE.

CIF file:
```
data_VInGe2Pd
_symmetry_space_group_name_H-M 'P 1'
_symmetry_Int_Tables_number 1
_cell_length_a 5.130
_cell_length_b 5.130
_cell_length_c 5.182
_cell_angle_alpha 90.00
_cell_angle_beta 90.00
_cell_angle_gamma 90.00
loop_
_symmetry_equiv_pos_as_xyz
'x,y,z'
loop_
_atom_site_label
_atom_site_type_symbol
_atom_site_fract_x
_atom_site_fract_y
_atom_site_fract_z
_atom_site_occupancy
V1 V 0.000 0.000 0.000 1
In1 In 0.000 0.000 0.500 1
Ge1 Ge 0.000 0.500 0.500 1
Ge2 Ge 0.500 0.000 0.500 1
Pd1 Pd 0.500 0.500 0.000 1
```

Space-group type   P4/mmm, No. 123
V   27.27 A^3/atom
Formation enthalpy at 0 K   1336 meV/atom
Calculated total energy   -19.604 eV per formula unit

---

7.
Crystalline Y2InGe3Pd4 at its relaxed geometry. Source: Alexandria, functional PBE.

CIF file:
```
data_Y2InGe3Pd4
_symmetry_space_group_name_H-M 'P 1'
_symmetry_Int_Tables_number 1
_cell_length_a 4.261
_cell_length_b 4.261
_cell_length_c 10.716
_cell_angle_alpha 90.00
_cell_angle_beta 90.00
_cell_angle_gamma 90.00
loop_
_symmetry_equiv_pos_as_xyz
'x,y,z'
loop_
_atom_site_label
_atom_site_type_symbol
_atom_site_fract_x
_atom_site_fract_y
_atom_site_fract_z
_atom_site_occupancy
Y1 Y 0.000 0.500 0.238 1
Y2 Y 0.500 0.000 0.762 1
In1 In 0.000 0.000 0.500 1
Ge1 Ge 0.000 0.500 0.874 1
Ge2 Ge 0.500 0.000 0.126 1
Ge3 Ge 0.500 0.500 0.500 1
Pd1 Pd 0.000 0.000 0.000 1
Pd2 Pd 0.000 0.500 0.649 1
Pd3 Pd 0.500 0.000 0.351 1
Pd4 Pd 0.500 0.500 0.000 1
```

Space-group type   P-4m2, No. 115
V   19.45 A^3/atom
Formation enthalpy at 0 K   -746 meV/atom
Calculated total energy   -57.748 eV per formula unit

---

8.
Crystalline YInGe2Pd at its relaxed geometry. Source: Alexandria, functional PBE.

CIF file:
```
data_YInGe2Pd
_symmetry_space_group_name_H-M 'P 1'
_symmetry_Int_Tables_number 1
_cell_length_a 5.140
_cell_length_b 5.140
_cell_length_c 4.948
_cell_angle_alpha 90.00
_cell_angle_beta 90.00
_cell_angle_gamma 90.00
loop_
_symmetry_equiv_pos_as_xyz
'x,y,z'
loop_
_atom_site_label
_atom_site_type_symbol
_atom_site_fract_x
_atom_site_fract_y
_atom_site_fract_z
_atom_site_occupancy
Y1 Y 0.000 0.000 0.000 1
In1 In 0.500 0.500 0.500 1
Ge1 Ge 0.000 0.500 0.500 1
Ge2 Ge 0.500 0.000 0.500 1
Pd1 Pd 0.500 0.500 0.000 1
```

Space-group type   P4/mmm, No. 123
V   26.14 A^3/atom
Formation enthalpy at 0 K   314 meV/atom
Calculated total energy   -22.061 eV per formula unit

---

9.
Crystalline ZnIn2Ge2Pd5 at its relaxed geometry. Source: Alexandria, functional PBE.

CIF file:
```
data_ZnIn2Ge2Pd5
_symmetry_space_group_name_H-M 'P 1'
_symmetry_Int_Tables_number 1
_cell_length_a 10.213
_cell_length_b 10.213
_cell_length_c 3.294
_cell_angle_alpha 90.00
_cell_angle_beta 90.00
_cell_angle_gamma 90.00
loop_
_symmetry_equiv_pos_as_xyz
'x,y,z'
loop_
_atom_site_label
_atom_site_type_symbol
_atom_site_fract_x
_atom_site_fract_y
_atom_site_fract_z
_atom_site_occupancy
Zn1 Zn 0.000 0.000 0.000 1
Zn2 Zn 0.500 0.500 0.000 1
In1 In 0.171 0.329 0.000 1
In2 In 0.329 0.829 0.000 1
In3 In 0.671 0.171 0.000 1
In4 In 0.829 0.671 0.000 1
Ge1 Ge 0.142 0.642 0.000 1
Ge2 Ge 0.358 0.142 0.000 1
Ge3 Ge 0.642 0.858 0.000 1
Ge4 Ge 0.858 0.358 0.000 1
Pd1 Pd 0.000 0.500 0.500 1
Pd2 Pd 0.014 0.795 0.500 1
Pd3 Pd 0.205 0.014 0.500 1
Pd4 Pd 0.295 0.514 0.500 1
Pd5 Pd 0.486 0.295 0.500 1
Pd6 Pd 0.500 0.000 0.500 1
Pd7 Pd 0.514 0.705 0.500 1
Pd8 Pd 0.705 0.486 0.500 1
Pd9 Pd 0.795 0.986 0.500 1
Pd10 Pd 0.986 0.205 0.500 1
```

Space-group type   P4/mbm, No. 127
V   17.18 A^3/atom
Formation enthalpy at 0 K   -352 meV/atom
Calculated total energy   -45.474 eV per formula unit

---

10.
Crystalline Pm12InGe7 at its relaxed geometry. Source: Alexandria, functional PBE.

CIF file:
```
data_Pm12InGe7
_symmetry_space_group_name_H-M 'P 1'
_symmetry_Int_Tables_number 1
_cell_length_a 9.131
_cell_length_b 9.131
_cell_length_c 9.131
_cell_angle_alpha 109.54
_cell_angle_beta 109.54
_cell_angle_gamma 109.54
loop_
_symmetry_equiv_pos_as_xyz
'x,y,z'
loop_
_atom_site_label
_atom_site_type_symbol
_atom_site_fract_x
_atom_site_fract_y
_atom_site_fract_z
_atom_site_occupancy
Pm1 Pm 0.088 0.305 0.387 1
Pm2 Pm 0.154 0.670 0.297 1
Pm3 Pm 0.297 0.154 0.670 1
Pm4 Pm 0.305 0.387 0.088 1
Pm5 Pm 0.330 0.703 0.846 1
Pm6 Pm 0.387 0.088 0.305 1
Pm7 Pm 0.613 0.912 0.695 1
Pm8 Pm 0.670 0.297 0.154 1
Pm9 Pm 0.695 0.613 0.912 1
Pm10 Pm 0.703 0.846 0.330 1
Pm11 Pm 0.846 0.330 0.703 1
Pm12 Pm 0.912 0.695 0.613 1
In1 In 0.000 0.000 0.000 1
Ge1 Ge 0.025 0.927 0.292 1
Ge2 Ge 0.073 0.708 0.975 1
Ge3 Ge 0.292 0.025 0.927 1
Ge4 Ge 0.500 0.500 0.500 1
Ge5 Ge 0.708 0.975 0.073 1
Ge6 Ge 0.927 0.292 0.025 1
Ge7 Ge 0.975 0.073 0.708 1
```

Space-group type   R-3, No. 148
V   29.23 A^3/atom
Formation enthalpy at 0 K   -434 meV/atom
Calculated total energy   -100.750 eV per formula unit

---

11.
Crystalline PmInGe at its relaxed geometry. Source: Alexandria, functional PBE.

CIF file:
```
data_PmInGe
_symmetry_space_group_name_H-M 'P 1'
_symmetry_Int_Tables_number 1
_cell_length_a 9.178
_cell_length_b 9.178
_cell_length_c 4.028
_cell_angle_alpha 90.00
_cell_angle_beta 90.00
_cell_angle_gamma 153.15
loop_
_symmetry_equiv_pos_as_xyz
'x,y,z'
loop_
_atom_site_label
_atom_site_type_symbol
_atom_site_fract_x
_atom_site_fract_y
_atom_site_fract_z
_atom_site_occupancy
Pm1 Pm 0.092 0.908 0.750 1
Pm2 Pm 0.908 0.092 0.250 1
In1 In 0.283 0.717 0.750 1
In2 In 0.717 0.283 0.250 1
Ge1 Ge 0.451 0.549 0.750 1
Ge2 Ge 0.549 0.451 0.250 1
```

Space-group type   Cmcm, No. 63
V   25.54 A^3/atom
Formation enthalpy at 0 K   -555 meV/atom
Calculated total energy   -13.771 eV per formula unit

---

What is the calculated total energy in the tenth record? -100.750 eV per formula unit

---

Look up the V of the sixth one. 27.27 A^3/atom